This record from Alexandria via LeMat-Bulk describes a relaxed structure of Sr4InHg. The functional is GGA-PBE.

DOS at the Fermi energy in states/eV/cell: 9.472
Uncorrected energy in eV per atom: -1.87
Volume in Å³ per atom: 43.31
Total moment in μB/cell: 0.0
Symmetry: C2/m, No. 12
Excess energy over the best structure of this formula in the dataset in meV per atom: 101.9
DFT formation energy in eV per atom: -0.24

Cell lengths 5.696, 5.696, 8.010 Å; angles 89.95, 89.98, 90.00 degrees
Sites, in units of the cell vectors:
In 0.501 0.497 0.998
Sr 0.501 0.998 0.751
Sr 0.501 0.997 0.246
Sr 0.001 0.497 0.246
Sr 0.001 0.497 0.751
Hg 0.001 0.997 0.498